Record 1
VASP calculation (PBE) on a geometry-optimized Ir2PtRh structure.

Output
Calculated formation energy (eV per atom): 0.02
Symmetry: No. 8
D(E_F) (states/eV/cell): 4.13
Total magnetic moment (μB per formula unit): 0.00

abc: 4.761 4.761 4.763
angles: 99.54 99.54 33.62
Fractional positions:
Ir 0.000 0.000 0.000
Ir 0.744 0.744 0.236
Pt 0.248 0.248 0.740
Rh 0.493 0.493 0.488

Record 2
VASP calculation (PBE) on a geometry-optimized Ir2PtRh structure.

Output
Calculated formation energy (eV per atom): 0.42
Symmetry: No. 216
D(E_F) (states/eV/cell): 8.36
Total magnetic moment (μB per formula unit): 1.68

abc: 4.413 4.413 4.413
angles: 60.00 60.00 60.00
Fractional positions:
Ir 0.000 0.000 0.000
Ir 0.250 0.250 0.250
Pt 0.750 0.750 0.750
Rh 0.500 0.500 0.500

Record 3
VASP calculation (PBE) on a geometry-optimized Ir2Pt4Rh5 structure.

Output
Calculated formation energy (eV per atom): 0.17
Symmetry: No. 10
D(E_F) (states/eV/cell): 20.57
Total magnetic moment (μB per formula unit): 0.00

abc: 6.873 2.735 8.909
angles: 90.00 94.97 90.00
Fractional positions:
Ir 0.070 0.000 0.139
Ir 0.930 0.000 0.861
Pt 0.166 0.500 0.399
Pt 0.290 0.500 0.943
Pt 0.710 0.500 0.057
Pt 0.834 0.500 0.601
Rh 0.194 0.000 0.667
Rh 0.443 0.000 0.207
Rh 0.500 0.000 0.500
Rh 0.557 0.000 0.793
Rh 0.806 0.000 0.333